No. 1
BaLa2Tc: optimized geometry, PBE-GGA.

raw total energy: -21.19 eV per formula unit
ΔE to the lowest computed polymorph: 102 meV/atom
calculated density: 5.7 g/cm³
calculated formation energy: 0.237 eV per atom

a = 6.4710 Å, b = 6.4710 Å, c = 7.0764 Å
α = 62.49°, β = 62.49°, γ = 35.48°
Positions (direct):
Tc (0.4752, 0.4752, 0.6908)
La (0.0093, 0.0093, 0.9116)
La (0.8302, 0.8302, 0.6357)
Ba (0.1853, 0.1853, 0.2618)

=====

No. 2
BaLa4Tc: optimized geometry, PBE-GGA.

raw total energy: -31.68 eV per formula unit
ΔE to the lowest computed polymorph: 0 meV/atom
calculated density: 5.7 g/cm³
calculated formation energy: 0.053 eV per atom

a = 7.8463 Å, b = 6.6350 Å, c = 10.1337 Å
α = 106.36°, β = 67.22°, γ = 90.00°
Positions (direct):
La (0.1434, 0.6090, 0.2127)
La (0.3182, 0.2093, 0.3636)
La (0.8566, 0.3910, 0.7873)
La (0.2623, 0.0000, 0.0000)
La (0.3561, 0.3910, 0.7873)
La (0.6439, 0.6090, 0.2127)
La (0.7377, 0.0000, 0.0000)
La (0.6818, 0.7907, 0.6364)
Tc (0.5429, 0.6389, 0.9141)
Tc (0.4571, 0.3611, 0.0859)
Ba (0.1963, 0.8263, 0.6074)
Ba (0.8037, 0.1737, 0.3926)